# AlCrSi2Rh PBE optimized geometry
data_AlCrSi2Rh
_space_group_name_H-M_alt 'P 4/m m m'
_space_group_IT_number 123
_space_group_name_Hall '-P 4 2'
_cell_length_a 4.586
_cell_length_b 4.586
_cell_length_c 4.346
_cell_angle_alpha 90.00
_cell_angle_beta 90.00
_cell_angle_gamma 90.00
loop_
_atom_site_label
_atom_site_type_symbol
_atom_site_fract_x
_atom_site_fract_y
_atom_site_fract_z
_atom_site_occupancy
Al1 Al 0.000 0.000 0.000 1
Cr1 Cr 0.500 0.500 0.500 1
Si1 Si 0.000 0.500 0.000 1
Rh1 Rh 0.000 0.000 0.500 1
# **DOS at the Fermi energy**: 5.5 states/eV/f.u.
# **Size of the total moment**: 0.08 μB per cell
# **Calculated total energy**: -25.00 eV for the cell shown

***

# TbCe3In12 PBE optimized geometry
data_TbCe3In12
_space_group_name_H-M_alt 'P 4/m m m'
_space_group_IT_number 123
_space_group_name_Hall '-P 4 2'
_cell_length_a 4.684
_cell_length_b 4.684
_cell_length_c 18.817
_cell_angle_alpha 90.00
_cell_angle_beta 90.00
_cell_angle_gamma 90.00
loop_
_atom_site_label
_atom_site_type_symbol
_atom_site_fract_x
_atom_site_fract_y
_atom_site_fract_z
_atom_site_occupancy
Tb1 Tb 0.000 0.000 0.000 1
Ce1 Ce 0.000 0.000 0.248 1
Ce2 Ce 0.000 0.000 0.500 1
In1 In 0.000 0.500 0.123 1
In2 In 0.000 0.500 0.374 1
In3 In 0.500 0.500 0.000 1
In4 In 0.500 0.500 0.249 1
In5 In 0.500 0.500 0.500 1
# **DOS at the Fermi energy**: 20.7 states/eV/f.u.
# **Size of the total moment**: 2.24 μB per cell
# **Calculated total energy**: -61.93 eV for the cell shown
# **ΔE_f**: -0.415 eV/atom